Compound: HoLuSi
Source: the Alexandria database
Functional: GGA-PBE
Structure: optimized geometry

```
HoLuSi
1.0
-2.189 -3.951 1.535
1.018 -4.216 -1.987
2.440 -3.273 2.468
Si Lu Ho
1 1 1
Cartesian
0.317 -2.860 0.504
0.000 0.000 0.000
0.634 -5.720 1.008
```

- Theoretical density: 8.0 Mg/m³
- Magnetic moment: 0.0 μB per formula unit
- Raw total energy: -15.9 eV for the cell shown
- Energy relative to the elements, uncorrected: -0.445 eV/atom
- Distance to the lowest polymorph of the same formula: 0.0 meV/atom
- Space-group type: No. 216